Crystalline CsP2CS at its relaxed geometry, computed with PBE.

POSCAR file:
```
CsP2CS
1.0
4.3369 0.0000 0.0000
0.0000 4.3369 0.0000
0.0000 0.0000 5.4654
Cs P C S
1 2 1 1
direct
0.0000 0.0000 0.0000
0.0000 0.5000 0.5000
0.5000 0.0000 0.5000
0.5000 0.5000 0.5000
0.5000 0.5000 0.0000
```

Results
D(E_F): 3.35 states/eV/f.u.
crystal system: tetragonal
formation energy (no corrections): 1.25 eV per atom